Record 1
# Sr3Sn2P4

An optimized crystal structure of Sr3Sn2P4 (PBE, Alexandria via LeMat-Bulk).

Unit cell a=25.3612 b=12.7103 c=18.8848 alpha=90.00 beta=90.00 gamma=90.00
Last column: nearest neighbours and their distance in Å.
Space group Cmce (No. 64)
Unique sites:
Sr 0.0000 0.0000 0.0000 [4 per cell]  6 P 3.13-3.18
Sr 0.0000 0.0000 0.5000 [4 per cell]  6 P 3.19-3.27
Sr 0.0000 0.0635 0.2285 [8 per cell]  6 P 3.10-3.24
Sr 0.0833 0.2101 0.8682 [16 per cell]  6 P 3.02-3.15
Sr 0.1687 0.0496 0.2408 [16 per cell]  6 P 3.05-3.29
Sr 0.1754 0.0000 0.0000 [8 per cell]  6 P 3.14-3.16
Sr 0.2442 0.2100 0.6276 [16 per cell]  6 P 3.10-3.32
Sn 0.0823 0.2093 0.0646 [16 per cell]  3 P 2.50-2.60
Sn 0.0855 0.1493 0.6785 [16 per cell]  3 P 2.52-2.60, 1 Sn 2.80
Sn 0.1624 0.0658 0.4390 [16 per cell]  3 P 2.49-2.59
P 0.0000 0.1851 0.7505 [8 per cell]  2 Sn 2.60
P 0.0000 0.2502 0.4874 [8 per cell]  2 Sn 2.60
P 0.0773 0.0422 0.3645 [16 per cell]  2 Sn 2.57-2.59
P 0.0870 0.0283 0.1156 [16 per cell]  1 Sn 2.50
P 0.1646 0.1992 0.7517 [16 per cell]  1 Sn 2.52
P 0.1657 0.2455 0.9897 [16 per cell]  2 Sn 2.58-2.59
P 0.2462 0.0405 0.3729 [16 per cell]  1 Sn 2.49

energy relative to the elements = -0.777 eV/atom
relative energy among the computed polymorphs = 0.00 kcal/mol of atoms

Record 2
# K3Ta2PbO8

An optimized crystal structure of K3Ta2PbO8 (PBE, Alexandria via LeMat-Bulk).

Unit cell a=6.2510 b=6.2510 c=7.8154 alpha=90.00 beta=90.00 gamma=120.00
Last column: nearest neighbours and their distance in Å.
Space group P-3m1 (No. 164)
Unique sites:
K 0.0000 0.0000 0.0000 [1 per cell]  6 O 3.06
K 0.3333 0.6667 0.6756 [2 per cell]  1 O 2.50
Ta 0.3333 0.6667 0.2274 [2 per cell]  4 O 1.82-1.89
Pb 0.0000 0.0000 0.5000 [1 per cell]  6 O 2.35
O 0.1703 0.3405 0.3125 [6 per cell]  1 Ta 1.89
O 0.3333 0.6667 0.9951 [2 per cell]  1 Ta 1.82

ΔE_f (raw) = -2.14 eV per atom

Record 3
# Na2Au3Br6

An optimized crystal structure of Na2Au3Br6 (PBE, Alexandria via LeMat-Bulk).

Unit cell a=12.7799 b=7.4125 c=16.2175 alpha=90.00 beta=105.57 gamma=90.00
Last column: nearest neighbours and their distance in Å.
Space group C2/c (No. 15)
Unique sites:
Na 0.0934 0.2502 0.0305 [8 per cell]  6 Br 2.99-3.03
Au 0.0000 0.0146 0.7500 [4 per cell]  2 Br 2.45
Au 0.1173 0.3699 0.7503 [8 per cell]  2 Br 2.45
Br 0.0709 0.0539 0.4024 [8 per cell]  1 Au 2.45
Br 0.1127 0.3729 0.5985 [8 per cell]  1 Au 2.45
Br 0.1926 0.4352 0.9027 [8 per cell]  1 Au 2.45

ΔE_f (raw) = -0.55 eV per atom

Record 4
# AgSnHPb2

An optimized crystal structure of AgSnHPb2 (PBE, Alexandria via LeMat-Bulk).

Unit cell a=5.8240 b=5.8240 c=3.5268 alpha=90.00 beta=90.00 gamma=90.00
Last column: nearest neighbours and their distance in Å.
Space group P4/mmm (No. 123)
Unique sites:
Ag 0.0000 0.0000 0.0000 [1 per cell]  2 H 1.76
Sn 0.5000 0.5000 0.5000 [1 per cell]  8 Pb 3.40, 2 Sn 3.53
H 0.0000 0.0000 0.5000 [1 per cell]  2 Ag 1.76
Pb 0.0000 0.5000 0.0000 [2 per cell]  2 Ag 2.91

relative energy among the computed polymorphs = 0.45 kcal/mol of atoms

Record 5
# Pm4Sm8Ho3

An optimized crystal structure of Pm4Sm8Ho3 (PBE, Alexandria via LeMat-Bulk).

Unit cell a=7.0226 b=7.0226 c=35.8841 alpha=90.00 beta=90.00 gamma=120.00
Last column: nearest neighbours and their distance in Å.
Space group R-3m (No. 166, hexagonal axes)
Unique sites:
Pm 0.0000 0.0000 0.0000 [3 per cell]  6 Ho 3.51, 6 Sm 3.58
Pm 0.0000 0.0000 0.1637 [6 per cell]  4 Sm 3.26-3.57
Pm 0.0000 0.0000 0.5000 [3 per cell]  6 Sm 3.64, 6 Pm 4.06
Sm 0.0000 0.0000 0.2547 [6 per cell]  1 Pm 3.26, 3 Ho 3.48, 6 Sm 3.51
Sm 0.0016 0.5008 0.2512 [18 per cell]  6 Sm 3.49-3.53, 3 Pm 3.57-3.64, 2 Ho 3.57
Ho 0.0000 0.5000 0.0000 [9 per cell]  6 Sm 3.48-3.57, 4 Ho 3.51, 2 Pm 3.51

energy relative to the elements = 0.124 eV/atom
relative energy among the computed polymorphs = 0.00 kcal/mol of atoms

Record 6
# SmTmRu

An optimized crystal structure of SmTmRu (PBE, Alexandria via LeMat-Bulk).

Unit cell a=7.6620 b=7.6620 c=4.2587 alpha=90.00 beta=90.00 gamma=120.00
Last column: nearest neighbours and their distance in Å.
Space group P-62m (No. 189)
Unique sites:
Sm 0.0000 0.5873 0.0000 [3 per cell]  5 Ru 3.14-3.16, 6 Tm 3.33-3.49
Tm 0.0000 0.2538 0.5000 [3 per cell]  4 Ru 2.88-2.91
Ru 0.0000 0.0000 0.0000 [1 per cell]  6 Tm 2.88, 3 Sm 3.16
Ru 0.3333 0.6667 0.5000 [2 per cell]  3 Tm 2.91, 6 Sm 3.14

energy relative to the elements = -0.329 eV/atom
relative energy among the computed polymorphs = 0.00 kcal/mol of atoms

Record 7
# HgN2

An optimized crystal structure of HgN2 (PBE, Alexandria via LeMat-Bulk).

Unit cell a=3.6450 b=3.6454 c=9.1457 alpha=86.77 beta=88.21 gamma=60.52
Last column: nearest neighbours and their distance in Å.
Space group P1 (No. 1)
Unique sites:
Hg 0.0000 0.0000 0.0000 [1 per cell]  6 Hg 3.65-3.67, 2 N 4.01-4.02
N 0.0009 0.0033 0.4385 [1 per cell]  1 N 1.11
N 0.9988 0.9874 0.5605 [1 per cell]  1 N 1.11

relative energy among the computed polymorphs = 0.00 kcal/mol of atoms
ΔE_f (raw) = 0.04 eV per atom

Record 8
# HfPaPb2

An optimized crystal structure of HfPaPb2 (PBE, Alexandria via LeMat-Bulk).

Unit cell a=4.7958 b=4.7958 c=4.4765 alpha=90.00 beta=90.00 gamma=90.00
Last column: nearest neighbours and their distance in Å.
Space group P4/mmm (No. 123)
Unique sites:
Hf 0.0000 0.0000 0.0000 [1 per cell]  8 Pb 3.28, 4 Pa 3.39
Pa 0.5000 0.5000 0.0000 [1 per cell]  8 Pb 3.28, 4 Hf 3.39
Pb 0.0000 0.5000 0.5000 [2 per cell]  4 Hf 3.28, 4 Pa 3.28, 4 Pb 3.39

energy relative to the elements = 0.128 eV/atom
relative energy among the computed polymorphs = 0.00 kcal/mol of atoms

Record 9
# EuCd3Ni

An optimized crystal structure of EuCd3Ni (PBE, Alexandria via LeMat-Bulk).

Unit cell a=5.0165 b=5.0165 c=5.0165 alpha=90.00 beta=90.00 gamma=90.00
Last column: nearest neighbours and their distance in Å.
Space group Pm-3m (No. 221)
Unique sites:
Eu 0.0000 0.0000 0.0000 [1 per cell]  12 Cd 3.55
Cd 0.0000 0.5000 0.5000 [3 per cell]  2 Ni 2.51
Ni 0.5000 0.5000 0.5000 [1 per cell]  6 Cd 2.51

energy relative to the elements = -0.117 eV/atom

Record 10
# YTlCd2

An optimized crystal structure of YTlCd2 (PBE, Alexandria via LeMat-Bulk).

Unit cell a=6.3700 b=11.4143 c=3.4200 alpha=90.00 beta=121.19 gamma=90.00
Last column: nearest neighbours and their distance in Å.
Space group C2/m (No. 12)
Unique sites:
Y 0.0000 0.0000 0.0000 [2 per cell]  4 Tl 3.18-3.25, 4 Cd 3.28, 2 Y 3.42
Tl 0.0000 0.5000 0.0000 [2 per cell]  4 Y 3.18-3.25, 4 Cd 3.28, 2 Tl 3.42
Cd 0.2500 0.2500 0.5000 [4 per cell]  6 Cd 3.18-3.42, 2 Tl 3.28, 2 Y 3.28

energy relative to the elements = -0.101 eV/atom
relative energy among the computed polymorphs = 3.97 kcal/mol of atoms

Record 11
# TaGa2Rh

An optimized crystal structure of TaGa2Rh (PBE, Alexandria via LeMat-Bulk).

Unit cell a=2.9520 b=2.9520 c=25.3857 alpha=90.00 beta=90.00 gamma=120.00
Last column: nearest neighbours and their distance in Å.
Space group R3m (No. 160, hexagonal axes)
Unique sites:
Ta 0.0000 0.0000 0.0000 [3 per cell]  6 Ga 2.83-2.86, 6 Ta 2.95
Ga 0.0000 0.0000 0.5764 [3 per cell]  3 Rh 2.60, 3 Ta 2.86
Ga 0.0000 0.0000 0.7557 [3 per cell]  3 Rh 2.59, 3 Ta 2.83
Rh 0.0000 0.0000 0.1659 [3 per cell]  6 Ga 2.59-2.60

energy relative to the elements = -0.285 eV/atom

Record 12
# LaTc3

An optimized crystal structure of LaTc3 (PBE, Alexandria via LeMat-Bulk).

Unit cell a=3.1413 b=3.1413 c=7.5563 alpha=90.00 beta=90.00 gamma=90.00
Last column: nearest neighbours and their distance in Å.
Space group P4/mmm (No. 123)
Unique sites:
La 0.0000 0.0000 0.0000 [1 per cell]  4 La 3.14, 8 Tc 3.24
Tc 0.0000 0.0000 0.5000 [1 per cell]  8 Tc 2.64
Tc 0.5000 0.5000 0.3115 [2 per cell]  5 Tc 2.64-2.85

energy relative to the elements = 0.325 eV/atom

Record 13
# Tb7Dy3Y2

An optimized crystal structure of Tb7Dy3Y2 (PBE, Alexandria via LeMat-Bulk).

Unit cell a=5.6982 b=37.8419 c=3.5901 alpha=90.00 beta=90.00 gamma=90.00
Last column: nearest neighbours and their distance in Å.
Space group Cmmm (No. 65)
Unique sites:
Tb 0.0000 0.0000 0.0000 [2 per cell]  6 Tb 3.25-3.59, 4 Dy 3.37
Tb 0.0000 0.0717 0.5000 [4 per cell]  8 Tb 3.25-3.59, 2 Y 3.39
Tb 0.0000 0.2313 0.0000 [4 per cell]  1 Y 3.16, 2 Tb 3.18
Tb 0.0000 0.4081 0.0000 [4 per cell]  6 Tb 3.45-3.59, 2 Y 3.55
Dy 0.0000 0.3147 0.5000 [4 per cell]  2 Dy 3.59, 8 Tb 3.63-3.96, 4 Y 3.65
Dy 0.0000 0.5000 0.5000 [2 per cell]  4 Tb 3.37, 2 Dy 3.59
Y 0.0000 0.1478 0.0000 [4 per cell]  3 Tb 3.16-3.39

energy relative to the elements = 0.112 eV/atom
relative energy among the computed polymorphs = 0.83 kcal/mol of atoms

Record 14
# AcAg10Hg2

An optimized crystal structure of AcAg10Hg2 (PBE, Alexandria via LeMat-Bulk).

Unit cell a=5.6695 b=13.6107 c=14.1042 alpha=90.00 beta=90.00 gamma=90.00
Last column: nearest neighbours and their distance in Å.
Space group Fmmm (No. 69)
Unique sites:
Ac 0.0000 0.0000 0.0000 [4 per cell]  16 Ag 3.47-3.69, 4 Hg 3.80
Ag 0.0000 0.1098 0.3935 [16 per cell]  7 Ag 2.81-3.14, 2 Hg 2.89
Ag 0.0000 0.1821 0.1726 [16 per cell]  6 Ag 2.86-3.14, 2 Hg 3.06
Ag 0.2500 0.2500 0.0000 [8 per cell]  10 Ag 2.81-2.96
Hg 0.2500 0.0000 0.2500 [8 per cell]  2 Hg 2.83, 8 Ag 2.89-3.06

energy relative to the elements = -0.042 eV/atom

Record 15
# Sm8Hg2Au

An optimized crystal structure of Sm8Hg2Au (PBE, Alexandria via LeMat-Bulk).

Unit cell a=5.4201 b=7.1993 c=16.7021 alpha=90.00 beta=90.00 gamma=90.00
Last column: nearest neighbours and their distance in Å.
Space group Immm (No. 71)
Unique sites:
Sm 0.0000 0.0000 0.1941 [4 per cell]  6 Sm 3.30-3.46, 4 Hg 3.38-3.60
Sm 0.0000 0.2344 0.3640 [8 per cell]  1 Au 2.97, 2 Hg 3.30, 1 Sm 3.30
Sm 0.0000 0.2496 0.0000 [4 per cell]  2 Au 3.25, 6 Sm 3.54-3.61, 2 Hg 3.58
Hg 0.0000 0.5000 0.1855 [4 per cell]  12 Sm 3.30-3.60
Au 0.0000 0.5000 0.5000 [2 per cell]  8 Sm 2.97-3.25

energy relative to the elements = -0.188 eV/atom
relative energy among the computed polymorphs = 2.20 kcal/mol of atoms

Record 16
# CaTiSn3

An optimized crystal structure of CaTiSn3 (PBE, Alexandria via LeMat-Bulk).

Unit cell a=5.2896 b=5.2896 c=5.2896 alpha=90.00 beta=90.00 gamma=90.00
Last column: nearest neighbours and their distance in Å.
Space group Pm-3m (No. 221)
Unique sites:
Ca 0.0000 0.0000 0.0000 [1 per cell]  12 Sn 3.74
Ti 0.5000 0.5000 0.5000 [1 per cell]  6 Sn 2.64
Sn 0.0000 0.5000 0.5000 [3 per cell]  2 Ti 2.64

energy relative to the elements = -0.157 eV/atom

Record 17
# MgCu2P

An optimized crystal structure of MgCu2P (PBE, Alexandria via LeMat-Bulk).

Unit cell a=3.7392 b=3.7524 c=7.9647 alpha=90.00 beta=90.00 gamma=90.00
Last column: nearest neighbours and their distance in Å.
Space group Immm (No. 71)
Unique sites:
Mg 0.0000 0.0000 0.0000 [2 per cell]  4 P 2.65, 8 Cu 2.73
Cu 0.0000 0.5000 0.2495 [4 per cell]  4 Cu 2.65, 4 P 2.73-2.74, 4 Mg 2.73
P 0.0000 0.0000 0.5000 [2 per cell]  4 Mg 2.65, 8 Cu 2.73-2.74

energy relative to the elements = -0.063 eV/atom

Record 18
# TbDy2Tl4

An optimized crystal structure of TbDy2Tl4 (PBE, Alexandria via LeMat-Bulk).

Unit cell a=7.5059 b=7.5059 c=7.4725 alpha=90.00 beta=90.00 gamma=90.00
Last column: nearest neighbours and their distance in Å.
Space group I4/mmm (No. 139)
Unique sites:
Tb 0.0000 0.0000 0.0000 [2 per cell]  8 Tl 3.25
Dy 0.0000 0.5000 0.0000 [4 per cell]  8 Tl 3.25
Tl 0.2500 0.2500 0.2500 [8 per cell]  2 Tb 3.25, 4 Dy 3.25

energy relative to the elements = -0.226 eV/atom
relative energy among the computed polymorphs = 0.00 kcal/mol of atoms

Record 19
# BaLaRh2Br

An optimized crystal structure of BaLaRh2Br (PBE, Alexandria via LeMat-Bulk).

Unit cell a=4.9013 b=4.9013 c=7.6495 alpha=90.00 beta=90.00 gamma=90.00
Last column: nearest neighbours and their distance in Å.
Space group P4/mmm (No. 123)
Unique sites:
Ba 0.0000 0.0000 0.0000 [1 per cell]  4 Br 3.47, 2 La 3.82
La 0.0000 0.0000 0.5000 [1 per cell]  4 Rh 2.45
Rh 0.0000 0.5000 0.5000 [2 per cell]  2 La 2.45
Br 0.5000 0.5000 0.0000 [1 per cell]  4 Ba 3.47

ΔE_f (raw) = 0.01 eV per atom